w | ## AlCd2Mo2 (PBE)

Data for an optimized crystal structure of AlCd2Mo2.

```
data_AlCd2Mo2
_chemical_formula_sum 'Al2 Cd4 Mo4'
_cell_length_a 3.648
_cell_length_b 3.648
_cell_length_c 15.056
_cell_angle_alpha 90.00
_cell_angle_beta 90.00
_cell_angle_gamma 90.00
_space_group_name_H-M_alt 'I 4/m m m'
_space_group_IT_number 139
_space_group_name_Hall '-I 4 2'
loop_
_atom_site_label
_atom_site_fract_x
_atom_site_fract_y
_atom_site_fract_z
Al1 0.000 0.000 0.000
Cd1 0.000 0.000 0.404
Mo1 0.000 0.500 0.250
```

Properties
Its density of states at the Fermi level is 3.845 states/eV/f.u.



x | ## AlCd2Mo2 (PBE)

Data for an optimized crystal structure of AlCd2Mo2.

```
data_AlCd2Mo2
_chemical_formula_sum 'Al2 Cd4 Mo4'
_cell_length_a 8.310
_cell_length_b 8.310
_cell_length_c 2.912
_cell_angle_alpha 90.00
_cell_angle_beta 90.00
_cell_angle_gamma 90.00
_space_group_name_H-M_alt 'P 4/m b m'
_space_group_IT_number 127
_space_group_name_Hall '-P 4 2ab'
loop_
_atom_site_label
_atom_site_fract_x
_atom_site_fract_y
_atom_site_fract_z
Al1 0.000 0.000 0.000
Cd1 0.193 0.307 0.000
Mo1 0.098 0.598 0.500
```

Properties
Its density of states at the Fermi level is 3.625 states/eV/f.u.



Relative energy of each structure, in eV/atom: w 0.000; x 0.035.



w | ## Al2CdN (PBE)

Data for an optimized crystal structure of Al2CdN.

```
data_Al2CdN
_chemical_formula_sum 'Al8 Cd4 N4'
_cell_length_a 5.566
_cell_length_b 5.566
_cell_length_c 8.860
_cell_angle_alpha 90.00
_cell_angle_beta 90.00
_cell_angle_gamma 90.00
_space_group_name_H-M_alt 'I -4 2 d'
_space_group_IT_number 122
_space_group_name_Hall 'I -4 2bw'
loop_
_atom_site_label
_atom_site_fract_x
_atom_site_fract_y
_atom_site_fract_z
Al1 0.131 0.250 0.125
Cd1 0.000 0.000 0.500
N1 0.000 0.000 0.000
```

Properties
Its density of states at the Fermi level is 1.909 states/eV/f.u.



x | ## Al2CdN (PBE)

Data for an optimized crystal structure of Al2CdN.

```
data_Al2CdN
_chemical_formula_sum 'Al8 Cd4 N4'
_cell_length_a 6.369
_cell_length_b 6.369
_cell_length_c 6.369
_cell_angle_alpha 90.00
_cell_angle_beta 90.00
_cell_angle_gamma 90.00
_space_group_name_H-M_alt 'F m -3 m'
_space_group_IT_number 225
_space_group_name_Hall '-F 4 2 3'
loop_
_atom_site_label
_atom_site_fract_x
_atom_site_fract_y
_atom_site_fract_z
Al1 0.250 0.250 0.250
Cd1 0.000 0.000 0.000
N1 0.000 0.000 0.500
```

Properties
Its density of states at the Fermi level is 3.672 states/eV/f.u.



Relative energy of each structure, in eV/atom: w 0.000; x 1.212.



w | ## AlCd2N (PBE)

Data for an optimized crystal structure of AlCd2N.

```
data_AlCd2N
_chemical_formula_sum 'Al4 Cd8 N4'
_cell_length_a 6.268
_cell_length_b 6.268
_cell_length_c 8.700
_cell_angle_alpha 90.00
_cell_angle_beta 90.00
_cell_angle_gamma 90.00
_space_group_name_H-M_alt 'I -4 2 d'
_space_group_IT_number 122
_space_group_name_Hall 'I -4 2bw'
loop_
_atom_site_label
_atom_site_fract_x
_atom_site_fract_y
_atom_site_fract_z
Al1 0.000 0.000 0.000
Cd1 0.167 0.250 0.625
N1 0.000 0.000 0.500
```

Properties
Its density of states at the Fermi level is 0.344 states/eV/f.u.



x | ## AlCd2N (PBE)

Data for an optimized crystal structure of AlCd2N.

```
data_AlCd2N
_chemical_formula_sum 'Al4 Cd8 N4'
_cell_length_a 6.559
_cell_length_b 6.559
_cell_length_c 6.559
_cell_angle_alpha 90.00
_cell_angle_beta 90.00
_cell_angle_gamma 90.00
_space_group_name_H-M_alt 'F m -3 m'
_space_group_IT_number 225
_space_group_name_Hall '-F 4 2 3'
loop_
_atom_site_label
_atom_site_fract_x
_atom_site_fract_y
_atom_site_fract_z
Al1 0.000 0.000 0.000
Cd1 0.250 0.250 0.250
N1 0.000 0.000 0.500
```

Properties
Its density of states at the Fermi level is 1.302 states/eV/f.u.



Relative energy of each structure, in eV/atom: w 0.000; x 0.379.



w | ## AlCdSN2 (PBE)

Data for an optimized crystal structure of AlCdSN2.

```
data_AlCdSN2
_chemical_formula_sum 'Al1 Cd1 S1 N2'
_cell_length_a 4.183
_cell_length_b 4.183
_cell_length_c 5.611
_cell_angle_alpha 90.00
_cell_angle_beta 90.00
_cell_angle_gamma 90.00
_space_group_name_H-M_alt 'P 4/m m m'
_space_group_IT_number 123
_space_group_name_Hall '-P 4 2'
loop_
_atom_site_label
_atom_site_fract_x
_atom_site_fract_y
_atom_site_fract_z
Al1 0.000 0.000 0.000
Cd1 0.500 0.500 0.500
S1 0.500 0.500 0.000
N1 0.000 0.500 0.500
```

Properties
Its density of states at the Fermi level is 1.989 states/eV/f.u.



x | ## AlCdSN2 (PBE)

Data for an optimized crystal structure of AlCdSN2.

```
data_AlCdSN2
_chemical_formula_sum 'Al1 Cd1 S1 N2'
_cell_length_a 3.744
_cell_length_b 3.744
_cell_length_c 5.392
_cell_angle_alpha 90.00
_cell_angle_beta 90.00
_cell_angle_gamma 90.00
_space_group_name_H-M_alt 'P 4/m m m'
_space_group_IT_number 123
_space_group_name_Hall '-P 4 2'
loop_
_atom_site_label
_atom_site_fract_x
_atom_site_fract_y
_atom_site_fract_z
Al1 0.000 0.000 0.000
Cd1 0.500 0.500 0.500
S1 0.000 0.000 0.500
N1 0.000 0.500 0.000
```

Properties
Its density of states at the Fermi level is 2.383 states/eV/f.u.



Relative energy of each structure, in eV/atom: w 1.135; x 0.000.



w | ## AlCdS2N (PBE)

Data for an optimized crystal structure of AlCdS2N.

```
data_AlCdS2N
_chemical_formula_sum 'Al1 Cd1 S2 N1'
_cell_length_a 4.852
_cell_length_b 4.852
_cell_length_c 3.633
_cell_angle_alpha 90.00
_cell_angle_beta 90.00
_cell_angle_gamma 90.00
_space_group_name_H-M_alt 'P 4/m m m'
_space_group_IT_number 123
_space_group_name_Hall '-P 4 2'
loop_
_atom_site_label
_atom_site_fract_x
_atom_site_fract_y
_atom_site_fract_z
Al1 0.000 0.000 0.000
Cd1 0.500 0.500 0.500
S1 0.000 0.500 0.000
N1 0.000 0.000 0.500
```

Properties
Its density of states at the Fermi level is 5.402 states/eV/f.u.



x | ## AlCdS2N (PBE)

Data for an optimized crystal structure of AlCdS2N.

```
data_AlCdS2N
_chemical_formula_sum 'Al1 Cd1 S2 N1'
_cell_length_a 5.098
_cell_length_b 5.098
_cell_length_c 4.131
_cell_angle_alpha 90.00
_cell_angle_beta 90.00
_cell_angle_gamma 90.00
_space_group_name_H-M_alt 'P 4/m m m'
_space_group_IT_number 123
_space_group_name_Hall '-P 4 2'
loop_
_atom_site_label
_atom_site_fract_x
_atom_site_fract_y
_atom_site_fract_z
Al1 0.000 0.000 0.000
Cd1 0.500 0.500 0.500
S1 0.000 0.500 0.500
N1 0.500 0.500 0.000
```

Properties
Its density of states at the Fermi level is 2.523 states/eV/f.u.



Relative energy of each structure, in eV/atom: w 0.000; x 0.937.



w | ## AlCdTe2N (PBE)

Data for an optimized crystal structure of AlCdTe2N.

```
data_AlCdTe2N
_chemical_formula_sum 'Al1 Cd1 Te2 N1'
_cell_length_a 5.854
_cell_length_b 5.854
_cell_length_c 3.444
_cell_angle_alpha 90.00
_cell_angle_beta 90.00
_cell_angle_gamma 90.00
_space_group_name_H-M_alt 'P 4/m m m'
_space_group_IT_number 123
_space_group_name_Hall '-P 4 2'
loop_
_atom_site_label
_atom_site_fract_x
_atom_site_fract_y
_atom_site_fract_z
Al1 0.000 0.000 0.000
Cd1 0.500 0.500 0.500
Te1 0.000 0.500 0.000
N1 0.000 0.000 0.500
```

Properties
Its density of states at the Fermi level is 3.281 states/eV/f.u.



x | ## AlCdTe2N (PBE)

Data for an optimized crystal structure of AlCdTe2N.

```
data_AlCdTe2N
_chemical_formula_sum 'Al1 Cd1 Te2 N1'
_cell_length_a 5.752
_cell_length_b 5.752
_cell_length_c 4.033
_cell_angle_alpha 90.00
_cell_angle_beta 90.00
_cell_angle_gamma 90.00
_space_group_name_H-M_alt 'P 4/m m m'
_space_group_IT_number 123
_space_group_name_Hall '-P 4 2'
loop_
_atom_site_label
_atom_site_fract_x
_atom_site_fract_y
_atom_site_fract_z
Al1 0.000 0.000 0.000
Cd1 0.500 0.500 0.500
Te1 0.000 0.500 0.500
N1 0.500 0.500 0.000
```

Properties
Its density of states at the Fermi level is 6.071 states/eV/f.u.



Relative energy of each structure, in eV/atom: w 0.000; x 0.935.



w | ## NaAlCd (PBE)

Data for an optimized crystal structure of NaAlCd.

```
data_NaAlCd
_chemical_formula_sum 'Na1 Al1 Cd1'
_cell_length_a 4.8860
_cell_length_b 4.8860
_cell_length_c 3.3071
_cell_angle_alpha 90.00
_cell_angle_beta 90.00
_cell_angle_gamma 120.00
_space_group_name_H-M_alt 'P -6 m 2'
_space_group_IT_number 187
_space_group_name_Hall 'P -6 2'
loop_
_atom_site_label
_atom_site_fract_x
_atom_site_fract_y
_atom_site_fract_z
Na1 0.0000 0.0000 0.0000
Al1 0.3333 0.6667 0.5000
Cd1 0.6667 0.3333 0.5000
```

Properties
Its density of states at the Fermi level is 1.309 states/eV/f.u.



x | ## NaAlCd (PBE)

Data for an optimized crystal structure of NaAlCd.

```
data_NaAlCd
_chemical_formula_sum 'Na2 Al2 Cd2'
_cell_length_a 3.084
_cell_length_b 3.084
_cell_length_c 14.152
_cell_angle_alpha 90.00
_cell_angle_beta 90.00
_cell_angle_gamma 90.00
_space_group_name_H-M_alt 'I 4 m m'
_space_group_IT_number 107
_space_group_name_Hall 'I 4 -2'
loop_
_atom_site_label
_atom_site_fract_x
_atom_site_fract_y
_atom_site_fract_z
Na1 0.000 0.000 0.000
Al1 0.000 0.000 0.674
Cd1 0.000 0.000 0.320
```

Properties
Its density of states at the Fermi level is 1.206 states/eV/f.u.



y | ## NaAlCd (PBE)

Data for an optimized crystal structure of NaAlCd.

```
data_NaAlCd
_chemical_formula_sum 'Na4 Al4 Cd4'
_cell_length_a 3.590
_cell_length_b 3.590
_cell_length_c 24.489
_cell_angle_alpha 90.00
_cell_angle_beta 90.00
_cell_angle_gamma 90.00
_space_group_name_H-M_alt 'I 4/m m m'
_space_group_IT_number 139
_space_group_name_Hall '-I 4 2'
loop_
_atom_site_label
_atom_site_fract_x
_atom_site_fract_y
_atom_site_fract_z
Na1 0.000 0.000 0.073
Al1 0.000 0.000 0.346
Cd1 0.000 0.000 0.212
```

Properties
Its density of states at the Fermi level is 1.004 states/eV/f.u.



Relative energy of each structure, in eV/atom: w 0.000; x 0.040; y 0.115.